[1]
## Li4BiAs (PBE)

Data for a geometry-optimized Li4BiAs structure.

Density in g/cm3: 4.45
Relative energy among the computed polymorphs in meV per atom: 0
DFT formation energy in eV/atom: -0.4981

a = 8.834 Å, b = 3.246 Å, c = 8.932 Å
α = 90.00°, β = 114.80°, γ = 90.00°
Space group C2/m (No. 12)
Symmetry-distinct sites (fractional):
Li: 0.147 0.000 0.319 x4
Li: 0.153 0.500 0.868 x4
Bi: 0.000 0.500 0.500 x2
As: 0.000 0.000 0.000 x2

=====

[2]
## KHfCu2Br8 (PBE)

Data for a geometry-optimized KHfCu2Br8 structure.

Density in g/cm3: 4.10
Formation energy (no corrections) in eV/atom: -0.99

a = 6.743 Å, b = 7.031 Å, c = 8.973 Å
α = 71.61°, β = 81.80°, γ = 83.74°
Space group P-1 (No. 2)
Symmetry-distinct sites (fractional):
K: 0.000 0.000 0.000 x1
Hf: 0.000 0.500 0.500 x1
Cu: 0.498 0.477 0.179 x2
Br: 0.114 0.504 0.770 x2
Br: 0.142 0.845 0.358 x2
Br: 0.352 0.309 0.439 x2
Br: 0.494 0.773 0.963 x2

=====

[3]
## NbMo2W3 (PBE)

Data for a geometry-optimized NbMo2W3 structure.

Density in g/cm3: 14.18
Relative energy among the computed polymorphs in meV per atom: 0
DFT formation energy in eV/atom: -0.0720

a = 4.510 Å, b = 9.601 Å, c = 9.049 Å
α = 90.00°, β = 90.00°, γ = 90.00°
Space group Imma (No. 74)
Symmetry-distinct sites (fractional):
Nb: 0.000 0.250 0.125 x4
Mo: 0.000 0.081 0.377 x8
W: 0.000 0.083 0.873 x8
W: 0.000 0.250 0.626 x4

=====

[4]
## Pr2Ni3Ir (PBE)

Data for a geometry-optimized Pr2Ni3Ir structure.

Density in g/cm3: 9.26
Relative energy among the computed polymorphs in meV per atom: 349
DFT formation energy in eV/atom: -0.0514

a = 4.393 Å, b = 5.246 Å, c = 10.120 Å
α = 90.00°, β = 90.00°, γ = 90.00°
Space group Immm (No. 71)
Symmetry-distinct sites (fractional):
Pr: 0.000 0.000 0.184 x4
Ni: 0.000 0.500 0.115 x4
Ni: 0.000 0.500 0.500 x2
Ir: 0.000 0.000 0.500 x2

=====

[5]
## HgRhI2 (PBE)

Data for a geometry-optimized HgRhI2 structure.

Density in g/cm3: 8.70
Relative energy among the computed polymorphs in meV per atom: 478
Formation energy (no corrections) in eV/atom: 0.61

a = 7.522 Å, b = 7.522 Å, c = 7.522 Å
α = 90.00°, β = 90.00°, γ = 90.00°
Space group Fm-3m (No. 225)
Symmetry-distinct sites (fractional):
Hg: 0.000 0.000 0.000 x4
Rh: 0.000 0.000 0.500 x4
I: 0.250 0.250 0.250 x8

=====

[6]
## AcZnGeAu (PBE)

Data for a geometry-optimized AcZnGeAu structure.

Density in g/cm3: 9.83
DFT formation energy in eV/atom: -0.3597

a = 7.241 Å, b = 7.241 Å, c = 7.241 Å
α = 90.00°, β = 90.00°, γ = 90.00°
Space group F-43m (No. 216)
Symmetry-distinct sites (fractional):
Ac: 0.000 0.000 0.000 x4
Zn: 0.250 0.250 0.750 x4
Ge: 0.000 0.000 0.500 x4
Au: 0.250 0.250 0.250 x4

=====

[7]
## BaLa2CdIr (PBE)

Data for a geometry-optimized BaLa2CdIr structure.

Density in g/cm3: 6.15
Relative energy among the computed polymorphs in meV per atom: 35
DFT formation energy in eV/atom: -0.2741

a = 5.562 Å, b = 5.562 Å, c = 6.282 Å
α = 90.00°, β = 90.00°, γ = 90.00°
Space group P4/mmm (No. 123)
Symmetry-distinct sites (fractional):
Ba: 0.000 0.000 0.000 x1
La: 0.000 0.500 0.500 x2
Cd: 0.500 0.500 0.000 x1
Ir: 0.000 0.000 0.500 x1

=====

[8]
## LiHf2Hg2 (PBE)

Data for a geometry-optimized LiHf2Hg2 structure.

Density in g/cm3: 11.13
Relative energy among the computed polymorphs in meV per atom: 84
DFT formation energy in eV/atom: 0.1316

a = 8.716 Å, b = 8.716 Å, c = 3.004 Å
α = 90.00°, β = 90.00°, γ = 90.00°
Space group P4/mbm (No. 127)
Symmetry-distinct sites (fractional):
Li: 0.000 0.000 0.000 x2
Hf: 0.123 0.377 0.000 x4
Hg: 0.174 0.674 0.500 x4

=====

[9]
## PmSc3Tl2 (PBE)

Data for a geometry-optimized PmSc3Tl2 structure.

Density in g/cm3: 7.29
Relative energy among the computed polymorphs in meV per atom: 80
DFT formation energy in eV/atom: -0.1577

a = 15.779 Å, b = 5.159 Å, c = 8.852 Å
α = 90.00°, β = 119.48°, γ = 90.00°
Space group C2/m (No. 12)
Symmetry-distinct sites (fractional):
Pm: 0.132 0.000 0.168 x4
Sc: 0.059 0.000 0.710 x4
Sc: 0.111 0.500 0.546 x4
Sc: 0.200 0.500 0.989 x4
Tl: 0.009 0.500 0.175 x4
Tl: 0.219 0.000 0.598 x4

=====

[10]
## BaLa2Pb2 (PBE)

Data for a geometry-optimized BaLa2Pb2 structure.

Density in g/cm3: 6.29
Relative energy among the computed polymorphs in meV per atom: 222
DFT formation energy in eV/atom: -0.2911

a = 6.101 Å, b = 6.101 Å, c = 11.773 Å
α = 90.00°, β = 90.00°, γ = 90.00°
Space group I4/mmm (No. 139)
Symmetry-distinct sites (fractional):
Ba: 0.000 0.000 0.000 x2
La: 0.000 0.000 0.331 x4
Pb: 0.000 0.500 0.250 x4